(1)
HfBN2 after structural relaxation. Source: Alexandria via LeMat-Bulk, functional PBE.

Cell: 5.993 5.993 5.993 Å, 27.69 27.69 27.69°
Positions (direct):
Hf (0.000, 0.000, 0.000)
B (0.500, 0.500, 0.500)
N (0.119, 0.119, 0.119)
N (0.881, 0.881, 0.881)

Values from the calculation:
space group: R-3m, No. 166
energy relative to the elements, uncorrected: 75.2 kJ per mole of atoms



(2)
PmSmHoEr2 after structural relaxation. Source: Alexandria via LeMat-Bulk, functional PBE.

Cell: 8.890 8.890 6.382 Å, 90.00 90.00 137.88°
Positions (direct):
Pm (0.157, 0.843, 0.750)
Pm (0.843, 0.157, 0.250)
Sm (0.343, 0.657, 0.750)
Sm (0.657, 0.343, 0.250)
Ho (0.253, 0.747, 0.250)
Ho (0.747, 0.253, 0.750)
Er (0.250, 0.250, 0.000)
Er (0.250, 0.250, 0.500)
Er (0.750, 0.750, 0.000)
Er (0.750, 0.750, 0.500)

Values from the calculation:
space group: Cmcm, No. 63
energy of formation: 0.35 eV/atom



(3)
RbNa2BiO4 after structural relaxation. Source: Alexandria via LeMat-Bulk, functional PBE.

Cell: 7.603 7.603 7.603 Å, 127.87 126.66 77.82°
Positions (direct):
Rb (0.500, 0.000, 0.000)
Rb (0.500, 0.500, 0.500)
Na (0.000, 0.000, 0.000)
Na (0.000, 0.000, 0.500)
Na (0.000, 0.500, 0.000)
Na (0.500, 0.000, 0.500)
Bi (0.000, 0.500, 0.500)
Bi (0.500, 0.500, 0.000)
O (0.144, 0.673, 0.471)
O (0.256, 0.275, 0.519)
O (0.256, 0.737, 0.981)
O (0.298, 0.327, 0.971)
O (0.702, 0.673, 0.029)
O (0.744, 0.263, 0.019)
O (0.744, 0.725, 0.481)
O (0.856, 0.327, 0.529)

Values from the calculation:
space group: Imma, No. 74
energy relative to the elements, uncorrected: -113.8 kJ per mole of atoms



(4)
YHf2InRe after structural relaxation. Source: Alexandria via LeMat-Bulk, functional PBE.

Cell: 5.113 5.113 5.362 Å, 90.00 90.00 90.00°
Positions (direct):
Y (0.000, 0.000, 0.000)
Hf (0.000, 0.500, 0.500)
Hf (0.500, 0.000, 0.500)
In (0.000, 0.000, 0.500)
Re (0.500, 0.500, 0.000)

Values from the calculation:
space group: P4/mmm, No. 123
energy of formation: 1.77 eV/atom



(5)
Sc4Ga3Rh after structural relaxation. Source: Alexandria via LeMat-Bulk, functional PBE.

Cell: 3.310 3.310 13.456 Å, 90.00 90.00 90.00°
Positions (direct):
Sc (0.000, 0.000, 0.115)
Sc (0.000, 0.000, 0.371)
Sc (0.000, 0.000, 0.629)
Sc (0.000, 0.000, 0.885)
Ga (0.500, 0.500, 0.242)
Ga (0.500, 0.500, 0.500)
Ga (0.500, 0.500, 0.758)
Rh (0.500, 0.500, 0.000)

Values from the calculation:
space group: P4/mmm, No. 123
energy of formation: -0.71 eV/atom
energy above the lowest structure with this stoichiometry: 0.0 kJ/mol of atoms



(6)
HgPd2Pb5 after structural relaxation. Source: Alexandria via LeMat-Bulk, functional PBE.

Cell: 8.551 8.551 8.551 Å, 154.82 126.22 60.28°
Positions (direct):
Hg (0.000, 0.000, 0.000)
Pd (0.307, 0.807, 0.500)
Pd (0.693, 0.193, 0.500)
Pb (0.076, 0.351, 0.725)
Pb (0.375, 0.649, 0.725)
Pb (0.500, 0.000, 0.500)
Pb (0.625, 0.351, 0.275)
Pb (0.924, 0.649, 0.275)

Values from the calculation:
space group: Immm, No. 71
energy of formation: -0.11 eV/atom